An optimized crystal structure of DyY2Se3. Source: the Alexandria database, functional PBE.

Calculated values
For the density of states at the Fermi level, the calculation gives 5.33 states/eV per cell. The value obtained for the raw formation energy is -1.758 eV per atom. For the size of the total moment, the calculation gives 0.000 μB/atom. Its crystal system is orthorhombic.

Cell: 4.0979 5.7570 12.2350 Å, 90.00 90.00 90.00°
Closest atoms and distances in Å follow each position.
Space group Immm (No. 71)
Asymmetric unit:
Dy 0.0000 0.0000 0.0000 (multiplicity 2)  6 Se 2.88
Y 0.0000 0.0000 0.3323 (multiplicity 4)  6 Se 2.88-2.90
Se 0.0000 0.5000 0.0000 (multiplicity 2)  2 Dy 2.88, 4 Y 2.90
Se 0.0000 0.5000 0.3343 (multiplicity 4)  4 Y 2.88-2.89, 2 Dy 2.88

=====

An optimized crystal structure of Tc3RhS. Source: the Alexandria database, functional PBE.

Calculated values
For the density of states at the Fermi level, the calculation gives 7.79 states/eV per cell. The value obtained for the raw formation energy is 2.047 eV per atom. For the size of the total moment, the calculation gives 0.674 μB/atom. Its crystal system is cubic.

Cell: 4.6968 4.6968 4.6968 Å, 90.00 90.00 90.00°
Closest atoms and distances in Å follow each position.
Space group Pm-3m (No. 221)
Asymmetric unit:
Tc 0.0000 0.0000 0.5000 (multiplicity 3)  2 Rh 2.35
Rh 0.0000 0.0000 0.0000 (multiplicity 1)  6 Tc 2.35
S 0.5000 0.5000 0.5000 (multiplicity 1)  12 Tc 3.32